1.
Here is a geometry-optimized Pr5I2O12 structure from Alexandria via LeMat-Bulk. Energies are from PBE.

a = 7.279 Å, b = 7.279 Å, c = 7.720 Å
α = 105.45°, β = 105.45°, γ = 53.02°
Element x y z (fractional)
1 Pr 0.000 0.000 0.000
2 Pr 0.299 0.299 0.136
3 Pr 0.305 0.305 0.672
4 Pr 0.695 0.695 0.328
5 Pr 0.701 0.701 0.864
6 I 0.246 0.754 0.500
7 I 0.754 0.246 0.500
8 O 0.001 0.001 0.684
9 O 0.094 0.598 0.925
10 O 0.103 0.561 0.415
11 O 0.402 0.906 0.075
12 O 0.439 0.897 0.585
13 O 0.499 0.499 0.691
14 O 0.501 0.501 0.309
15 O 0.561 0.103 0.415
16 O 0.598 0.094 0.925
17 O 0.897 0.439 0.585
18 O 0.906 0.402 0.075
19 O 0.999 0.999 0.316

ΔE_f (raw)	-2.218	eV per atom
symmetry	No. 12
total energy	-128.6	eV/f.u.

---

2.
Here is a geometry-optimized Pr2IO6 structure from Alexandria via LeMat-Bulk. Energies are from PBE.

a = 5.757 Å, b = 6.083 Å, c = 9.667 Å
α = 90.00°, β = 119.96°, γ = 90.00°
Element x y z (fractional)
1 Pr 0.197 0.072 0.238
2 Pr 0.197 0.428 0.738
3 Pr 0.803 0.572 0.262
4 Pr 0.803 0.928 0.762
5 I 0.500 0.000 0.000
6 I 0.500 0.500 0.500
7 O 0.171 0.176 0.952
8 O 0.171 0.324 0.452
9 O 0.247 0.741 0.897
10 O 0.247 0.759 0.397
11 O 0.451 0.094 0.790
12 O 0.451 0.406 0.290
13 O 0.549 0.594 0.710
14 O 0.549 0.906 0.210
15 O 0.753 0.241 0.603
16 O 0.753 0.259 0.103
17 O 0.829 0.676 0.548
18 O 0.829 0.824 0.048

ΔE_f (raw)	-1.985	eV per atom
symmetry	No. 14
total energy	-58.7	eV/f.u.

---

3.
Here is a geometry-optimized Pr6IO12 structure from Alexandria via LeMat-Bulk. Energies are from PBE.

a = 6.831 Å, b = 6.831 Å, c = 6.831 Å
α = 98.51°, β = 98.51°, γ = 98.51°
Element x y z (fractional)
1 Pr 0.111 0.812 0.645
2 Pr 0.188 0.355 0.889
3 Pr 0.355 0.889 0.188
4 Pr 0.645 0.111 0.812
5 Pr 0.812 0.645 0.111
6 Pr 0.889 0.188 0.355
7 I 0.500 0.500 0.500
8 O 0.061 0.906 0.322
9 O 0.094 0.678 0.939
10 O 0.205 0.435 0.533
11 O 0.322 0.061 0.906
12 O 0.435 0.533 0.205
13 O 0.467 0.795 0.565
14 O 0.533 0.205 0.435
15 O 0.565 0.467 0.795
16 O 0.678 0.939 0.094
17 O 0.795 0.565 0.467
18 O 0.906 0.322 0.061
19 O 0.939 0.094 0.678

ΔE_f (raw)	-2.745	eV per atom
symmetry	No. 148
total energy	-141.9	eV/f.u.

---

4.
Here is a geometry-optimized Pr2IO structure from Alexandria via LeMat-Bulk. Energies are from PBE.

a = 7.996 Å, b = 7.996 Å, c = 7.996 Å
α = 27.77°, β = 27.77°, γ = 27.77°
Element x y z (fractional)
1 Pr 0.223 0.223 0.223
2 Pr 0.777 0.777 0.777
3 I 0.000 0.000 0.000
4 O 0.500 0.500 0.500

ΔE_f (raw)	-1.702	eV per atom
symmetry	No. 166
total energy	-22.9	eV/f.u.

---

5.
Here is a geometry-optimized PrI3O9 structure from Alexandria via LeMat-Bulk. Energies are from PBE.

a = 8.972 Å, b = 6.057 Å, c = 17.111 Å
α = 90.00°, β = 114.72°, γ = 90.00°
Element x y z (fractional)
1 Pr 0.141 0.230 0.100
2 Pr 0.141 0.270 0.600
3 Pr 0.859 0.730 0.400
4 Pr 0.859 0.770 0.900
5 I 0.067 0.187 0.351
6 I 0.067 0.313 0.851
7 I 0.360 0.636 0.522
8 I 0.360 0.864 0.022
9 I 0.416 0.588 0.803
10 I 0.416 0.912 0.303
11 I 0.584 0.088 0.697
12 I 0.584 0.412 0.197
13 I 0.640 0.136 0.978
14 I 0.640 0.364 0.478
15 I 0.933 0.687 0.149
16 I 0.933 0.813 0.649
17 O 0.063 0.051 0.703
18 O 0.063 0.449 0.203
19 O 0.090 0.091 0.458
20 O 0.090 0.409 0.958
21 O 0.099 0.610 0.671
22 O 0.099 0.890 0.171
23 O 0.135 0.596 0.489
24 O 0.135 0.904 0.989
25 O 0.329 0.583 0.882
26 O 0.329 0.917 0.382
27 O 0.346 0.184 0.254
28 O 0.346 0.316 0.754
29 O 0.361 0.088 0.947
30 O 0.361 0.412 0.447
31 O 0.371 0.000 0.629
32 O 0.371 0.500 0.129
33 O 0.403 0.031 0.119
34 O 0.403 0.469 0.619
35 O 0.597 0.531 0.381
36 O 0.597 0.969 0.881
37 O 0.629 0.000 0.371
38 O 0.629 0.500 0.871
39 O 0.639 0.588 0.553
40 O 0.639 0.912 0.053
41 O 0.654 0.684 0.246
42 O 0.654 0.816 0.746
43 O 0.671 0.083 0.618
44 O 0.671 0.417 0.118
45 O 0.865 0.096 0.011
46 O 0.865 0.404 0.511
47 O 0.901 0.110 0.829
48 O 0.901 0.390 0.329
49 O 0.910 0.591 0.042
50 O 0.910 0.909 0.542
51 O 0.937 0.551 0.797
52 O 0.937 0.949 0.297

ΔE_f (raw)	-0.983	eV per atom
symmetry	No. 14
total energy	-66.8	eV/f.u.

---

6.
Here is a geometry-optimized Pr2I3O structure from Alexandria via LeMat-Bulk. Energies are from PBE.

a = 10.586 Å, b = 10.586 Å, c = 12.783 Å
α = 125.78°, β = 125.78°, γ = 23.07°
Element x y z (fractional)
1 Pr 0.066 0.066 0.462
2 Pr 0.371 0.371 0.230
3 Pr 0.629 0.629 0.770
4 Pr 0.934 0.934 0.538
5 I 0.171 0.171 0.007
6 I 0.285 0.285 0.378
7 I 0.468 0.468 0.759
8 I 0.532 0.532 0.241
9 I 0.715 0.715 0.622
10 I 0.829 0.829 0.993
11 O 0.078 0.078 0.661
12 O 0.922 0.922 0.339

ΔE_f (raw)	-1.957	eV per atom
symmetry	No. 12
total energy	-30.9	eV/f.u.

---

7.
Here is a geometry-optimized PrPu2IO4 structure from Alexandria via LeMat-Bulk. Energies are from PBE.

a = 4.049 Å, b = 4.049 Å, c = 9.484 Å
α = 90.00°, β = 90.00°, γ = 90.00°
Element x y z (fractional)
1 Pr 0.000 0.000 0.000
2 Pu 0.500 0.500 0.257
3 Pu 0.500 0.500 0.743
4 I 0.000 0.000 0.500
5 O 0.000 0.500 0.157
6 O 0.000 0.500 0.843
7 O 0.500 0.000 0.157
8 O 0.500 0.000 0.843

ΔE_f (raw)	-2.803	eV per atom
symmetry	No. 123
total energy	-77.3	eV/f.u.

---

8.
Here is a geometry-optimized RbPrI2O8 structure from Alexandria via LeMat-Bulk. Energies are from PBE.

a = 6.410 Å, b = 6.410 Å, c = 8.206 Å
α = 90.00°, β = 90.00°, γ = 120.00°
Element x y z (fractional)
1 Rb 0.000 0.000 0.000
2 Pr 0.000 0.000 0.500
3 I 0.333 0.667 0.729
4 I 0.667 0.333 0.271
5 O 0.159 0.329 0.686
6 O 0.170 0.841 0.686
7 O 0.329 0.170 0.314
8 O 0.333 0.667 0.947
9 O 0.667 0.333 0.053
10 O 0.671 0.830 0.686
11 O 0.830 0.159 0.314
12 O 0.841 0.671 0.314

ΔE_f (raw)	-1.025	eV per atom
symmetry	No. 147
total energy	-60.8	eV/f.u.

---

9.
Here is a geometry-optimized PrSeIO4 structure from Alexandria via LeMat-Bulk. Energies are from PBE.

a = 6.574 Å, b = 6.574 Å, c = 7.091 Å
α = 101.19°, β = 101.19°, γ = 67.94°
Element x y z (fractional)
1 Pr 0.245 0.245 0.148
2 Pr 0.755 0.755 0.852
3 Se 0.366 0.366 0.741
4 Se 0.634 0.634 0.259
5 I 0.025 0.025 0.753
6 I 0.975 0.975 0.247
7 O 0.140 0.490 0.861
8 O 0.296 0.296 0.507
9 O 0.479 0.479 0.225
10 O 0.490 0.140 0.861
11 O 0.510 0.860 0.139
12 O 0.521 0.521 0.775
13 O 0.704 0.704 0.493
14 O 0.860 0.510 0.139

ΔE_f (raw)	-1.481	eV per atom
symmetry	No. 12
total energy	-40.0	eV/f.u.

---

10.
Here is a geometry-optimized Pr6Si2I3O structure from Alexandria via LeMat-Bulk. Energies are from PBE.

a = 7.202 Å, b = 7.202 Å, c = 8.198 Å
α = 98.44°, β = 98.44°, γ = 119.94°
Element x y z (fractional)
1 Pr 0.061 0.372 0.185
2 Pr 0.247 0.247 0.812
3 Pr 0.372 0.061 0.185
4 Pr 0.628 0.939 0.815
5 Pr 0.753 0.753 0.188
6 Pr 0.939 0.628 0.815
7 Si 0.334 0.666 0.000
8 Si 0.666 0.334 0.000
9 I 0.174 0.826 0.500
10 I 0.500 0.500 0.500
11 I 0.826 0.174 0.500
12 O 0.000 0.000 0.000

ΔE_f (raw)	-1.207	eV per atom
symmetry	No. 12
total energy	-63.6	eV/f.u.

---

11.
Here is a geometry-optimized Pr2SmIO8 structure from Alexandria via LeMat-Bulk. Energies are from PBE.

a = 5.210 Å, b = 7.074 Å, c = 5.216 Å
α = 90.00°, β = 90.71°, γ = 90.00°
Element x y z (fractional)
1 Pr 0.000 0.247 0.000
2 Pr 0.000 0.753 0.000
3 Sm 0.500 0.500 0.500
4 I 0.500 0.000 0.500
5 O 0.192 0.500 0.194
6 O 0.241 0.000 0.243
7 O 0.325 0.202 0.675
8 O 0.325 0.798 0.675
9 O 0.675 0.202 0.325
10 O 0.675 0.798 0.325
11 O 0.759 0.000 0.757
12 O 0.808 0.500 0.806

ΔE_f (raw)	-2.215	eV per atom
symmetry	No. 10
total energy	-82.1	eV/f.u.

---

12.
Here is a geometry-optimized SrPrIO6 structure from Alexandria via LeMat-Bulk. Energies are from PBE.

a = 5.865 Å, b = 5.865 Å, c = 9.875 Å
α = 90.00°, β = 90.00°, γ = 120.00°
Element x y z (fractional)
1 Sr 0.000 0.000 0.000
2 Sr 0.000 0.000 0.500
3 Pr 0.333 0.667 0.250
4 Pr 0.667 0.333 0.750
5 I 0.333 0.667 0.750
6 I 0.667 0.333 0.250
7 O 0.062 0.400 0.641
8 O 0.062 0.662 0.859
9 O 0.338 0.400 0.859
10 O 0.338 0.938 0.641
11 O 0.400 0.062 0.141
12 O 0.400 0.338 0.359
13 O 0.600 0.662 0.641
14 O 0.600 0.938 0.859
15 O 0.662 0.062 0.359
16 O 0.662 0.600 0.141
17 O 0.938 0.338 0.141
18 O 0.938 0.600 0.359

ΔE_f (raw)	-1.829	eV per atom
symmetry	No. 163
total energy	-54.2	eV/f.u.

---

13.
Here is a geometry-optimized SrPr2IO8 structure from Alexandria via LeMat-Bulk. Energies are from PBE.

a = 4.788 Å, b = 5.040 Å, c = 7.633 Å
α = 92.20°, β = 91.56°, γ = 93.39°
Element x y z (fractional)
1 Sr 0.000 0.000 0.000
2 Pr 0.457 0.467 0.732
3 Pr 0.543 0.533 0.268
4 I 0.000 0.000 0.500
5 O 0.093 0.740 0.319
6 O 0.172 0.837 0.692
7 O 0.325 0.220 0.464
8 O 0.479 0.258 0.003
9 O 0.521 0.742 0.997
10 O 0.675 0.780 0.536
11 O 0.828 0.163 0.308
12 O 0.907 0.260 0.681

ΔE_f (raw)	-1.944	eV per atom
symmetry	No. 2
total energy	-75.8	eV/f.u.

---

14.
Here is a geometry-optimized TbPrIO6 structure from Alexandria via LeMat-Bulk. Energies are from PBE.

a = 5.690 Å, b = 5.690 Å, c = 9.961 Å
α = 90.00°, β = 90.00°, γ = 120.00°
Element x y z (fractional)
1 Tb 0.333 0.667 0.250
2 Tb 0.667 0.333 0.750
3 Pr 0.000 0.000 0.000
4 Pr 0.000 0.000 0.500
5 I 0.333 0.667 0.750
6 I 0.667 0.333 0.250
7 O 0.037 0.372 0.638
8 O 0.037 0.664 0.862
9 O 0.336 0.372 0.862
10 O 0.336 0.963 0.638
11 O 0.372 0.037 0.138
12 O 0.372 0.336 0.362
13 O 0.628 0.664 0.638
14 O 0.628 0.963 0.862
15 O 0.664 0.037 0.362
16 O 0.664 0.628 0.138
17 O 0.963 0.336 0.138
18 O 0.963 0.628 0.362

ΔE_f (raw)	-2.007	eV per atom
symmetry	No. 163
total energy	-58.8	eV/f.u.

---

15.
Here is a geometry-optimized PrTl2IO6 structure from Alexandria via LeMat-Bulk. Energies are from PBE.

a = 10.787 Å, b = 10.787 Å, c = 10.787 Å
α = 34.60°, β = 34.60°, γ = 34.60°
Element x y z (fractional)
1 Pr 0.106 0.106 0.106
2 Pr 0.894 0.894 0.894
3 Tl 0.248 0.248 0.248
4 Tl 0.374 0.374 0.374
5 Tl 0.626 0.626 0.626
6 Tl 0.752 0.752 0.752
7 I 0.000 0.000 0.000
8 I 0.500 0.500 0.500
9 O 0.099 0.099 0.687
10 O 0.099 0.687 0.099
11 O 0.257 0.676 0.676
12 O 0.313 0.901 0.901
13 O 0.324 0.324 0.743
14 O 0.324 0.743 0.324
15 O 0.676 0.257 0.676
16 O 0.676 0.676 0.257
17 O 0.687 0.099 0.099
18 O 0.743 0.324 0.324
19 O 0.901 0.313 0.901
20 O 0.901 0.901 0.313

ΔE_f (raw)	-1.208	eV per atom
symmetry	No. 166
total energy	-52.9	eV/f.u.

---

16.
Here is a geometry-optimized PrTm2IO8 structure from Alexandria via LeMat-Bulk. Energies are from PBE.

a = 5.012 Å, b = 6.933 Å, c = 5.014 Å
α = 90.00°, β = 90.66°, γ = 90.00°
Element x y z (fractional)
1 Pr 0.000 0.000 0.000
2 Tm 0.500 0.249 0.500
3 Tm 0.500 0.751 0.500
4 I 0.000 0.500 0.000
5 O 0.185 0.299 0.186
6 O 0.185 0.701 0.186
7 O 0.269 0.500 0.733
8 O 0.321 0.000 0.681
9 O 0.679 0.000 0.319
10 O 0.731 0.500 0.267
11 O 0.815 0.299 0.814
12 O 0.815 0.701 0.814

ΔE_f (raw)	-2.317	eV per atom
symmetry	No. 10
total energy	-82.7	eV/f.u.